[1]
The following is a DFT calculation (PBE) of crystalline PaGaCu2 at its relaxed geometry.

Calculated values
- Crystal system: orthorhombic
- Energy of formation from the pure elements: -0.136 eV/atom
- Total DFT energy (no corrections): -42.52 eV for the cell shown
- Symmetry: Amm2
- Magnetization: 0.000 μB/atom

Lattice parameters (Å, degrees): 4.3730 5.3750 6.3813 90.00 90.00 114.00
Element x y z (fractional)
Cu (0.4651, 0.9303, 0.5000)
Cu (0.8696, 0.7393, 0.0000)
Ga (0.2872, 0.5745, 0.8022)
Cu (0.0428, 0.0855, 0.6925)
Ga (0.2872, 0.5745, 0.1978)
Cu (0.0428, 0.0855, 0.3075)
Pa (0.7602, 0.5204, 0.5000)
Pa (0.5737, 0.1474, 0.0000)

=====

[2]
The following is a DFT calculation (PBE) of crystalline RbMg6BO8 at its relaxed geometry.

Calculated values
- Crystal system: tetragonal
- Total DFT energy (no corrections): -85.51 eV for the cell shown
- Symmetry: P4/mmm
- Offset from the most stable computed form: 279 meV per atom
- Magnetization: 0.022 μB/atom

Lattice parameters (Å, degrees): 4.6170 4.6170 8.6127 90.00 90.00 90.00
Each line ends with the local moment (μB).
Element x y z (fractional)
B (0.5000, 0.5000, 0.0000)  0.00
Mg (0.5000, 0.0000, 0.7665)  0.00
O (0.5000, 0.5000, 0.8358)  0.00
O (0.5000, 0.5000, 0.1642)  0.00
O (0.0000, 0.5000, 0.0000)  0.14
Rb (0.0000, 0.0000, 0.0000)  0.07
O (0.5000, 0.0000, 0.0000)  0.14
O (0.0000, 0.0000, 0.7197)  0.00
O (0.5000, 0.0000, 0.5000)  0.00
O (0.0000, 0.0000, 0.2803)  0.00
Mg (0.0000, 0.0000, 0.5000)  0.00
Mg (0.5000, 0.0000, 0.2335)  0.00
Mg (0.0000, 0.5000, 0.2335)  0.00
O (0.0000, 0.5000, 0.5000)  0.00
Mg (0.0000, 0.5000, 0.7665)  0.00
Mg (0.5000, 0.5000, 0.5000)  0.00

=====

[3]
The following is a DFT calculation (PBE) of crystalline LaPuTlHg at its relaxed geometry.

Calculated values
- Crystal system: cubic
- Energy of formation from the pure elements: -0.239 eV/atom
- Total DFT energy (no corrections): -22.88 eV for the cell shown
- Symmetry: F-43m
- Magnetization: 1.628 μB/atom

Lattice parameters (Å, degrees): 5.4873 5.4873 5.4873 60.00 60.00 60.00
Each line ends with the local moment (μB).
Element x y z (fractional)
La (0.7500, 0.7500, 0.7500)  0.20
Hg (0.5000, 0.5000, 0.5000)  0.04
Tl (0.0000, 0.0000, 0.0000)  0.00
Pu (0.2500, 0.2500, 0.2500)  5.60

=====

[4]
The following is a DFT calculation (PBE) of crystalline Th3Mg2Cd9 at its relaxed geometry.

Calculated values
- Crystal system: orthorhombic
- Energy of formation from the pure elements: -0.142 eV/atom
- Total DFT energy (no corrections): -35.68 eV for the cell shown
- Symmetry: Immm
- Magnetization: 0.000 μB/atom

Lattice parameters (Å, degrees): 4.8792 8.9847 8.9847 67.20 74.24 74.24
Element x y z (fractional)
Th (0.7153, 0.2847, 0.2847)
Cd (0.8565, 0.8576, 0.4294)
Cd (0.1435, 0.5706, 0.1424)
Th (0.2847, 0.7153, 0.7153)
Mg (0.5000, 0.3292, 0.6708)
Cd (0.0000, 0.5000, 0.5000)
Cd (0.3497, 0.2895, 0.0112)
Mg (0.5000, 0.6708, 0.3292)
Cd (0.1435, 0.1424, 0.5706)
Cd (0.8565, 0.4294, 0.8576)
Cd (0.6503, 0.9888, 0.7105)
Th (0.0000, 0.0000, 0.0000)
Cd (0.6503, 0.7105, 0.9888)
Cd (0.3497, 0.0112, 0.2895)

=====

[5]
The following is a DFT calculation (PBE) of crystalline ZnPRu at its relaxed geometry.

Calculated values
- Crystal system: trigonal
- Energy of formation from the pure elements: -0.187 eV/atom
- Total DFT energy (no corrections): -16.52 eV for the cell shown
- Symmetry: P3m1
- Magnetization: 0.000 μB/atom

Lattice parameters (Å, degrees): 2.9514 2.9514 5.9637 90.00 90.00 120.00
Element x y z (fractional)
Zn (0.6667, 0.3333, 0.6557)
P (0.0000, 0.0000, 0.0410)
Ru (0.3333, 0.6667, 0.3033)

=====

[6]
The following is a DFT calculation (PBE) of crystalline Nb3Sb2Te4 at its relaxed geometry.

Calculated values
- Crystal system: trigonal
- Total DFT energy (no corrections): -53.17 eV for the cell shown
- Symmetry: P3m1
- Magnetization: 0.071 μB/atom

Lattice parameters (Å, degrees): 3.7404 3.7404 20.3984 90.00 90.00 120.00
Each line ends with the local moment (μB).
Element x y z (fractional)
Te (0.0000, 0.0000, 0.5653)  0.00
Sb (0.6667, 0.3333, 0.0802)  0.00
Te (0.0000, 0.0000, 0.7443)  0.00
Nb (0.0000, 0.0000, 0.9942)  0.03
Nb (0.6667, 0.3333, 0.6545)  0.45
Te (0.6667, 0.3333, 0.3987)  0.00
Te (0.6667, 0.3333, 0.2241)  0.00
Nb (0.0000, 0.0000, 0.3097)  0.01
Sb (0.6667, 0.3333, 0.9062)  0.00

=====

[7]
The following is a DFT calculation (PBE) of crystalline LaTb2Sm3Se6 at its relaxed geometry.

Calculated values
- Crystal system: monoclinic
- Total DFT energy (no corrections): -71.25 eV for the cell shown
- Symmetry: C2/m
- Magnetization: 0.000 μB/atom

Lattice parameters (Å, degrees): 7.2346 7.2346 7.2230 99.60 99.60 120.23
Element x y z (fractional)
Se (0.7379, 0.7379, 0.2446)
Se (0.5732, 0.9165, 0.7498)
Se (0.0835, 0.4268, 0.2502)
Sm (0.8384, 0.1616, 0.5000)
Se (0.4268, 0.0835, 0.2502)
Tb (0.6672, 0.3328, 0.0000)
Se (0.9165, 0.5732, 0.7498)
Se (0.2621, 0.2621, 0.7554)
Tb (0.3328, 0.6672, 0.0000)
Sm (0.1616, 0.8384, 0.5000)
La (0.0000, 0.0000, 0.0000)
Sm (0.5000, 0.5000, 0.5000)

=====

[8]
The following is a DFT calculation (PBE) of crystalline CsUWN4 at its relaxed geometry.

Calculated values
- Crystal system: monoclinic
- Total DFT energy (no corrections): -126.09 eV for the cell shown
- Symmetry: P2_1/m
- Magnetization: 0.144 μB/atom

Lattice parameters (Å, degrees): 6.0075 5.9496 10.0317 90.00 124.69 90.00
Each line ends with the local moment (μB).
Element x y z (fractional)
N (0.0380, 0.4906, 0.6482)  -0.04
N (0.5000, 0.2500, 0.4443)  -0.03
N (0.3554, 0.7500, 0.2500)  -0.04
W (0.1778, 0.7500, 0.3567)  0.05
N (0.9620, 0.5094, 0.3518)  -0.04
N (0.0380, 0.0094, 0.6482)  -0.04
Cs (0.3769, 0.2500, 0.1111)  0.00
N (0.9620, 0.9906, 0.3518)  -0.04
W (0.8222, 0.2500, 0.6433)  0.05
Cs (0.6231, 0.7500, 0.8889)  0.00
U (0.7747, 0.7500, 0.4643)  1.04
N (0.6446, 0.2500, 0.7500)  -0.04
N (0.5000, 0.7500, 0.5557)  -0.03
U (0.2253, 0.2500, 0.5357)  1.04

=====

[9]
The following is a DFT calculation (PBE) of crystalline TcRu2Rh6 at its relaxed geometry.

Calculated values
- Crystal system: monoclinic
- Energy of formation from the pure elements: 0.003 eV/atom
- Total DFT energy (no corrections): -73.00 eV for the cell shown
- Symmetry: C2/m
- Magnetization: 0.000 μB/atom

Lattice parameters (Å, degrees): 3.8245 4.6989 8.1687 73.26 90.00 114.01
Element x y z (fractional)
Rh (0.3327, 0.6653, 0.3905)
Ru (0.3352, 0.6705, 0.0494)
Rh (0.6673, 0.3347, 0.6095)
Rh (0.9974, 0.9949, 0.8323)
Tc (0.0000, 0.0000, 0.5000)
Rh (0.6651, 0.3301, 0.2764)
Rh (0.3349, 0.6699, 0.7236)
Ru (0.6648, 0.3295, 0.9506)
Rh (0.0026, 0.0051, 0.1677)

=====

[10]
The following is a DFT calculation (PBE) of crystalline B3SbC at its relaxed geometry.

Calculated values
- Crystal system: cubic
- Total DFT energy (no corrections): -24.08 eV for the cell shown
- Symmetry: Pm-3m
- Offset from the most stable computed form: 0 meV per atom
- Magnetization: 0.000 μB/atom

Lattice parameters (Å, degrees): 3.7204 3.7204 3.7204 90.00 90.00 90.00
Element x y z (fractional)
B (0.5000, 0.0000, 0.0000)
C (0.0000, 0.0000, 0.0000)
B (0.0000, 0.5000, 0.0000)
Sb (0.5000, 0.5000, 0.5000)
B (0.0000, 0.0000, 0.5000)

=====

[11]
The following is a DFT calculation (PBE) of crystalline LaCr2Fe at its relaxed geometry.

Calculated values
- Crystal system: cubic
- Energy of formation from the pure elements: 0.588 eV/atom
- Total DFT energy (no corrections): -30.28 eV for the cell shown
- Symmetry: F-43m
- Offset from the most stable computed form: 226 meV per atom
- Magnetization: 0.356 μB/atom

Lattice parameters (Å, degrees): 4.6082 4.6082 4.6082 119.99 119.99 90.01
Each line ends with the local moment (μB).
Element x y z (fractional)
Cr (0.0000, 0.0000, 0.0000)  2.57
La (0.7500, 0.2500, 0.5000)  -0.07
Fe (0.5000, 0.5000, 0.0000)  2.15
Cr (0.2500, 0.7500, 0.5000)  -2.99

=====

[12]
The following is a DFT calculation (PBE) of crystalline MgRe2Se at its relaxed geometry.

Calculated values
- Crystal system: tetragonal
- Total DFT energy (no corrections): -27.85 eV for the cell shown
- Symmetry: I-4m2
- Offset from the most stable computed form: 437 meV per atom
- Magnetization: 0.000 μB/atom

Lattice parameters (Å, degrees): 4.6075 4.6075 4.6075 124.34 124.34 82.63
Element x y z (fractional)
Mg (0.7500, 0.2500, 0.5000)
Re (0.2500, 0.7500, 0.5000)
Re (0.0000, 0.0000, 0.0000)
Se (0.5000, 0.5000, 0.0000)

=====

Question: The lowest total DFT energy (no corrections) belongs to which entry?
Answer: CsUWN4